Tl6Pb2Au, relaxed, DFT PBE; V = 268.3 Å³/cell; formation energy from the elements = 1 meV per atom
1.0
3.743 0.000 0.000
0.000 9.082 0.000
0.000 -4.541 7.890
Tl Pb Au
6 2 1
direct
0.500 0.625 0.000
0.500 0.371 0.370
0.500 0.001 0.630
0.000 0.262 0.000
0.000 0.740 0.742
0.000 0.998 0.258
0.000 0.332 0.664
0.000 0.668 0.336
0.500 0.002 0.000



Ba4CuAu, relaxed, DFT PBE; V = 589.6 Å³/cell; formation energy from the elements = -246 meV per atom
1.0
-0.984 -7.071 2.822
4.919 -3.506 -7.069
4.677 2.406 7.660
Ba Cu Au
8 2 2
direct
0.272 0.837 0.159
0.228 0.337 0.159
0.725 0.659 0.336
0.225 0.841 0.664
0.775 0.159 0.336
0.275 0.341 0.664
0.772 0.663 0.841
0.728 0.163 0.841
0.500 0.500 0.000
0.000 0.000 0.000
0.000 0.500 0.500
0.500 0.000 0.500



BeSbTe, relaxed, DFT PBE; V = 168.0 Å³/cell; uncorrected formation energy = 0.004 eV/atom
1.0
4.031 0.000 0.000
1.196 6.359 0.000
0.175 1.377 6.552
Sb Te Be
2 2 2
direct
0.758 0.686 0.109
0.254 0.761 0.798
0.302 0.138 0.249
0.725 0.297 0.720
0.761 0.293 0.083
0.274 0.144 0.607